# 1
Density functional theory data (PBE) for a relaxed structure of KZrRe2Pb.

Structure (POSCAR):
```
KZrRe2Pb
1.0
5.180 0.000 0.000
0.000 5.180 0.000
0.000 0.000 5.472
K Zr Re Pb
1 1 2 1
direct
0.000 0.000 0.000
0.500 0.500 0.000
0.000 0.500 0.500
0.500 0.000 0.500
0.500 0.500 0.500
```

The value obtained for the density of states at the Fermi level is 1.158 states/eV per atom. The value obtained for the total magnetization is 1.8 μB per formula unit. As for the formation energy from the elements: 2342 meV/atom. As for the space group: P4/mmm, No. 123.

***

# 2
Density functional theory data (PBE) for a relaxed structure of K2RhPb2.

Structure (POSCAR):
```
K2RhPb2
1.0
7.227 0.000 0.000
0.000 7.227 0.000
0.000 0.000 6.081
K Rh Pb
4 2 4
direct
0.179 0.321 0.000
0.321 0.821 0.000
0.679 0.179 0.000
0.821 0.679 0.000
0.000 0.000 0.500
0.500 0.500 0.500
0.156 0.656 0.500
0.344 0.156 0.500
0.656 0.844 0.500
0.844 0.344 0.500
```

The value obtained for the density of states at the Fermi level is 0.759 states/eV per atom. The value obtained for the total magnetization is 0.0 μB per formula unit. As for the formation energy from the elements: 12 meV/atom. As for the space group: P4/mbm, No. 127.

***

What did the second record say?
Density functional theory data (PBE) for a relaxed structure of K2RhPb2.

Structure (POSCAR):
```
K2RhPb2
1.0
7.227 0.000 0.000
0.000 7.227 0.000
0.000 0.000 6.081
K Rh Pb
4 2 4
direct
0.179 0.321 0.000
0.321 0.821 0.000
0.679 0.179 0.000
0.821 0.679 0.000
0.000 0.000 0.500
0.500 0.500 0.500
0.156 0.656 0.500
0.344 0.156 0.500
0.656 0.844 0.500
0.844 0.344 0.500
```

The value obtained for the density of states at the Fermi level is 0.759 states/eV per atom. The value obtained for the total magnetization is 0.0 μB per formula unit. As for the formation energy from the elements: 12 meV/atom. As for the space group: P4/mbm, No. 127.

***

Question: Which of these has the lowest formation energy from the elements?
Answer: K2RhPb2

***

Question: formation energy from the elements of number 1 (KZrRe2Pb)?
Answer: 2342 meV/atom